DFT (PBE) results for a relaxed Sr2TaRe crystal.

Output
* mass density: 9564 kg/m³
* polymorph energy (0 for the lowest one): 16.343 kcal/mol of atoms

Unit cell a=5.1068 b=5.1068 c=5.1068 alpha=60.00 beta=60.00 gamma=60.00
Sites, in units of the cell vectors:
Sr1 0.2500 0.2500 0.2500
Re1 0.5000 0.5000 0.5000
Sr2 0.0000 0.0000 0.0000
Ta1 0.7500 0.7500 0.7500